PBE NbGa2BW, relaxed; ΔH_f (0 K) = 0.676 eV/atom
1.0
4.161 0.000 0.000
0.000 4.161 0.000
0.000 0.000 4.369
Nb Ga B W
1 2 1 1
Direct
0.000 0.000 0.000
0.000 0.500 0.500
0.500 0.000 0.500
0.000 0.000 0.500
0.500 0.500 0.000

PBE NdGaB, relaxed; ΔH_f (0 K) = -0.156 eV/atom
1.0
6.062 -1.604 0.000
6.062 1.604 0.000
-5.512 0.000 6.178
Nd Ga B
2 2 2
Direct
0.021 0.021 0.265
0.979 0.979 0.735
0.268 0.268 0.778
0.732 0.732 0.222
0.283 0.283 0.057
0.717 0.717 0.943

PBE Nd2GaNi6B, relaxed; ΔH_f (0 K) = -0.391 eV/atom
1.0
5.432 0.000 0.000
-2.716 4.704 0.000
0.000 0.000 5.814
Nd Ga Ni B
2 1 6 1
Direct
0.333 0.667 0.181
0.667 0.333 0.819
0.000 0.000 0.000
0.181 0.362 0.675
0.181 0.819 0.675
0.362 0.181 0.325
0.638 0.819 0.675
0.819 0.181 0.325
0.819 0.638 0.325
0.000 0.000 0.500